# 1
A geometry-optimized BeRe2Pt structure. Source: the Alexandria database, functional PBE.

abc: 8.719 8.719 8.719
angles: 18.06 18.06 18.06
Element x y z (fractional)
Re  0.506  0.506  0.506
Re  0.994  0.994  0.994
Be  0.250  0.250  0.250
Pt  0.750  0.750  0.750

Values from the calculation:
calculated formation energy = 153 meV/atom
density of states at the Fermi level = 4.97 states/eV/cell

# 2
A geometry-optimized Be2RePt structure. Source: the Alexandria database, functional PBE.

abc: 8.223 8.223 8.223
angles: 18.94 18.94 18.94
Element x y z (fractional)
Be  0.997  0.997  0.997
Be  0.251  0.251  0.251
Pt  0.508  0.508  0.508
Re  0.744  0.744  0.744

Values from the calculation:
distance to the lowest polymorph of the same formula = 428 meV/atom
calculated formation energy = 128 meV/atom
density of states at the Fermi level = 4.14 states/eV/cell

# 3
A geometry-optimized BeRePt2 structure. Source: the Alexandria database, functional PBE.

abc: 8.474 8.474 8.474
angles: 18.81 18.81 18.81
Last column: magnetic moment on the atom in μB.
Element x y z (fractional)
Pt  0.491  0.491  0.491  0.06
Re  0.250  0.250  0.250  0.41
Pt  0.009  0.009  0.009  0.06
Be  0.750  0.750  0.750  0.00

Values from the calculation:
calculated formation energy = -171 meV/atom
density of states at the Fermi level = 4.58 states/eV/cell

# 4
A geometry-optimized BeRePt structure. Source: the Alexandria database, functional PBE.

abc: 4.066 4.066 4.066
angles: 60.00 60.00 60.00
Element x y z (fractional)
Re  0.000  0.000  0.000
Be  0.500  0.500  0.500
Pt  0.750  0.750  0.750

Values from the calculation:
distance to the lowest polymorph of the same formula = 533 meV/atom
calculated formation energy = 351 meV/atom
density of states at the Fermi level = 3.46 states/eV/cell

# 5
A geometry-optimized BeRePt structure. Source: the Alexandria database, functional PBE.

abc: 4.083 4.083 4.083
angles: 60.00 60.00 60.00
Element x y z (fractional)
Be  0.000  0.000  0.000
Re  0.750  0.750  0.750
Pt  0.500  0.500  0.500

Values from the calculation:
distance to the lowest polymorph of the same formula = 795 meV/atom
calculated formation energy = 613 meV/atom
density of states at the Fermi level = 4.11 states/eV/cell

# 6
A geometry-optimized BeRe2Pt structure. Source: the Alexandria database, functional PBE.

abc: 5.719 4.846 2.698
angles: 89.94 61.97 117.34
Element x y z (fractional)
Pt  0.500  0.500  0.000
Be  0.000  0.500  0.500
Re  0.500  0.000  0.500
Re  0.000  0.000  0.000

Values from the calculation:
calculated formation energy = 151 meV/atom
density of states at the Fermi level = 2.89 states/eV/cell

# 7
A geometry-optimized BeRePt2 structure. Source: the Alexandria database, functional PBE.

abc: 3.926 3.796 3.796
angles: 90.00 90.00 90.00
Last column: magnetic moment on the atom in μB.
Element x y z (fractional)
Pt  0.000  0.500  0.500  0.08
Re  0.500  0.500  0.000  0.72
Pt  0.000  0.000  0.000  0.08
Be  0.500  0.000  0.500  -0.01

Values from the calculation:
calculated formation energy = 108 meV/atom
density of states at the Fermi level = 4.05 states/eV/cell

# 8
A geometry-optimized BeRePt2 structure. Source: the Alexandria database, functional PBE.

abc: 4.637 4.637 4.637
angles: 130.72 130.72 72.26
Element x y z (fractional)
Re  0.500  0.500  0.000
Pt  0.000  0.000  0.000
Pt  0.250  0.750  0.500
Be  0.750  0.250  0.500

Values from the calculation:
calculated formation energy = -2 meV/atom
density of states at the Fermi level = 2.78 states/eV/cell

# 9
A geometry-optimized Be2RePt structure. Source: the Alexandria database, functional PBE.

abc: 4.651 4.651 2.615
angles: 76.05 76.05 108.01
Element x y z (fractional)
Re  0.000  0.500  0.500
Be  0.500  0.500  0.000
Pt  0.500  0.000  0.500
Be  0.000  0.000  0.000

Values from the calculation:
distance to the lowest polymorph of the same formula = 178 meV/atom
calculated formation energy = -121 meV/atom
density of states at the Fermi level = 1.18 states/eV/cell

# 10
A geometry-optimized Be2RePt structure. Source: the Alexandria database, functional PBE.

abc: 2.767 2.767 6.014
angles: 90.00 90.00 90.00
Element x y z (fractional)
Re  0.500  0.500  0.796
Be  0.000  0.000  0.040
Pt  0.000  0.000  0.449
Be  0.500  0.500  0.216

Values from the calculation:
distance to the lowest polymorph of the same formula = 69 meV/atom
calculated formation energy = -230 meV/atom
density of states at the Fermi level = 3.10 states/eV/cell

# 11
A geometry-optimized BeRePt2 structure. Source: the Alexandria database, functional PBE.

abc: 5.245 5.245 5.245
angles: 149.73 130.69 58.96
Element x y z (fractional)
Be  0.753  0.253  0.500
Pt  0.255  0.755  0.500
Pt  0.957  0.957  0.000
Re  0.535  0.535  0.000

Values from the calculation:
calculated formation energy = -191 meV/atom
density of states at the Fermi level = 2.66 states/eV/cell

# 12
A geometry-optimized Be2RePt structure. Source: the Alexandria database, functional PBE.

abc: 4.593 4.593 4.262
angles: 73.35 73.35 33.50
Element x y z (fractional)
Pt  0.491  0.491  0.572
Re  0.258  0.258  0.178
Be  0.738  0.738  0.706
Be  0.013  0.013  0.045

Values from the calculation:
distance to the lowest polymorph of the same formula = 84 meV/atom
calculated formation energy = -215 meV/atom
density of states at the Fermi level = 2.28 states/eV/cell

# 13
A geometry-optimized BeRePt2 structure. Source: the Alexandria database, functional PBE.

abc: 4.303 4.303 4.303
angles: 60.00 60.00 60.00
Element x y z (fractional)
Re  0.750  0.750  0.750
Pt  0.250  0.250  0.250
Pt  0.000  0.000  0.000
Be  0.500  0.500  0.500

Values from the calculation:
calculated formation energy = 107 meV/atom
density of states at the Fermi level = 3.57 states/eV/cell

# 14
A geometry-optimized BeRe2Pt structure. Source: the Alexandria database, functional PBE.

abc: 4.259 3.630 3.630
angles: 90.00 90.00 90.00
Element x y z (fractional)
Re  0.000  0.500  0.500
Re  0.000  0.000  0.000
Be  0.500  0.500  0.000
Pt  0.500  0.000  0.500

Values from the calculation:
calculated formation energy = 100 meV/atom
density of states at the Fermi level = 2.98 states/eV/cell

# 15
A geometry-optimized BeRe2Pt structure. Source: the Alexandria database, functional PBE.

abc: 4.299 4.299 4.299
angles: 60.00 60.00 60.00
Element x y z (fractional)
Pt  0.750  0.750  0.750
Re  0.000  0.000  0.000
Be  0.500  0.500  0.500
Re  0.250  0.250  0.250

Values from the calculation:
calculated formation energy = 156 meV/atom
density of states at the Fermi level = 2.52 states/eV/cell

# 16
A geometry-optimized BeRe2Pt structure. Source: the Alexandria database, functional PBE.

abc: 4.987 4.987 4.987
angles: 146.83 127.34 63.67
Element x y z (fractional)
Re  0.720  0.220  0.500
Be  0.496  0.496  0.000
Pt  0.285  0.785  0.500
Re  0.999  0.999  0.000

Values from the calculation:
calculated formation energy = -44 meV/atom
density of states at the Fermi level = 3.32 states/eV/cell

# 17
A geometry-optimized BeRe2Pt structure. Source: the Alexandria database, functional PBE.

abc: 4.765 4.765 4.560
angles: 80.34 80.34 33.33
Element x y z (fractional)
Be  0.750  0.750  0.750
Pt  0.250  0.250  0.250
Re  0.001  0.001  0.993
Re  0.499  0.499  0.507

Values from the calculation:
calculated formation energy = 14 meV/atom
density of states at the Fermi level = 1.98 states/eV/cell

# 18
A geometry-optimized Be2RePt structure. Source: the Alexandria database, functional PBE.

abc: 4.104 4.104 2.728
angles: 90.00 90.00 90.00
Element x y z (fractional)
Be  0.500  0.500  0.000
Re  0.000  0.500  0.500
Be  0.000  0.000  0.000
Pt  0.500  0.000  0.500

Values from the calculation:
distance to the lowest polymorph of the same formula = 14 meV/atom
calculated formation energy = -285 meV/atom
density of states at the Fermi level = 2.87 states/eV/cell

# 19
A geometry-optimized Be2RePt structure. Source: the Alexandria database, functional PBE.

abc: 6.094 6.094 5.082
angles: 53.17 53.17 90.00
Element x y z (fractional)
Be  0.375  0.363  0.750
Re  0.250  0.750  0.500
Be  0.637  0.125  0.250
Pt  0.000  0.000  0.000
Pt  0.750  0.250  0.500
Be  0.113  0.625  0.250
Be  0.875  0.887  0.750
Re  0.500  0.500  0.000

Values from the calculation:
distance to the lowest polymorph of the same formula = 541 meV/atom
calculated formation energy = 241 meV/atom
density of states at the Fermi level = 6.76 states/eV/cell

# 20
A geometry-optimized BeRe2Pt structure. Source: the Alexandria database, functional PBE.

abc: 4.058 2.674 5.518
angles: 68.19 90.00 90.00
Element x y z (fractional)
Re  0.000  0.057  0.021
Be  0.500  0.250  0.250
Pt  0.500  0.750  0.750
Re  0.000  0.443  0.479

Values from the calculation:
calculated formation energy = 73 meV/atom
density of states at the Fermi level = 3.49 states/eV/cell

# 21
A geometry-optimized Be4RePt structure. Source: the Alexandria database, functional PBE.

abc: 4.420 4.420 4.420
angles: 60.00 60.00 60.00
Element x y z (fractional)
Be  0.372  0.372  0.372
Be  0.372  0.884  0.372
Pt  0.750  0.750  0.750
Be  0.372  0.372  0.884
Be  0.884  0.372  0.372
Re  0.000  0.000  0.000

Values from the calculation:
calculated formation energy = -229 meV/atom
density of states at the Fermi level = 4.06 states/eV/cell

# 22
A geometry-optimized BeRePt4 structure. Source: the Alexandria database, functional PBE.

abc: 5.182 5.182 5.182
angles: 60.00 60.00 60.00
Last column: magnetic moment on the atom in μB.
Element x y z (fractional)
Pt  0.875  0.375  0.375  0.08
Pt  0.375  0.875  0.375  0.08
Be  0.000  0.000  0.000  -0.02
Pt  0.375  0.375  0.375  0.08
Re  0.750  0.750  0.750  1.86
Pt  0.375  0.375  0.875  0.08

Values from the calculation:
calculated formation energy = 583 meV/atom
density of states at the Fermi level = 4.91 states/eV/cell

# 23
A geometry-optimized Be2RePt structure. Source: the Alexandria database, functional PBE.

abc: 3.617 2.659 5.058
angles: 89.95 90.00 90.00
Element x y z (fractional)
Be  0.000  0.251  0.536
Pt  0.500  0.250  0.250
Be  0.000  0.249  0.964
Re  0.500  0.750  0.750

Values from the calculation:
distance to the lowest polymorph of the same formula = 92 meV/atom
calculated formation energy = -208 meV/atom
density of states at the Fermi level = 1.90 states/eV/cell

# 24
A geometry-optimized BeRePt2 structure. Source: the Alexandria database, functional PBE.

abc: 2.744 3.867 5.290
angles: 90.00 90.00 90.00
Element x y z (fractional)
Be  0.500  0.500  0.750
Pt  0.000  0.000  0.503
Pt  0.000  0.000  0.997
Re  0.500  0.500  0.250

Values from the calculation:
calculated formation energy = -138 meV/atom
density of states at the Fermi level = 2.45 states/eV/cell

# 25
A geometry-optimized BeRePt2 structure. Source: the Alexandria database, functional PBE.

abc: 2.789 2.789 6.947
angles: 90.00 90.00 90.00
Element x y z (fractional)
Pt  0.000  0.000  0.947
Be  0.500  0.500  0.760
Pt  0.500  0.500  0.265
Re  0.000  0.000  0.529

Values from the calculation:
calculated formation energy = -285 meV/atom
density of states at the Fermi level = 1.42 states/eV/cell

# 26
A geometry-optimized Be2RePt structure. Source: the Alexandria database, functional PBE.

abc: 4.023 4.023 4.023
angles: 60.00 60.00 60.00
Element x y z (fractional)
Be  0.250  0.250  0.250
Re  0.000  0.000  0.000
Be  0.750  0.750  0.750
Pt  0.500  0.500  0.500

Values from the calculation:
distance to the lowest polymorph of the same formula = 146 meV/atom
calculated formation energy = -153 meV/atom
density of states at the Fermi level = 3.88 states/eV/cell

# 27
A geometry-optimized BeRe2Pt structure. Source: the Alexandria database, functional PBE.

abc: 2.765 3.724 5.461
angles: 90.00 90.00 90.00
Element x y z (fractional)
Be  0.000  0.000  0.508
Re  0.000  0.000  0.028
Re  0.500  0.500  0.247
Pt  0.500  0.500  0.716

Values from the calculation:
calculated formation energy = -43 meV/atom
density of states at the Fermi level = 2.57 states/eV/cell

# 28
A geometry-optimized BeRe2Pt structure. Source: the Alexandria database, functional PBE.

abc: 8.436 8.436 8.436
angles: 18.95 18.95 18.95
Element x y z (fractional)
Re  0.245  0.245  0.245
Pt  0.760  0.760  0.760
Re  0.997  0.997  0.997
Be  0.498  0.498  0.498

Values from the calculation:
calculated formation energy = -96 meV/atom
density of states at the Fermi level = 1.74 states/eV/cell

# 29
A geometry-optimized BeRe2Pt structure. Source: the Alexandria database, functional PBE.

abc: 3.643 3.643 9.510
angles: 78.96 78.96 90.00
Element x y z (fractional)
Re  0.160  0.625  0.250
Re  0.375  0.410  0.750
Re  0.875  0.840  0.750
Re  0.590  0.125  0.250
Be  0.250  0.750  0.500
Be  0.500  0.500  0.000
Pt  0.000  0.000  0.000
Pt  0.750  0.250  0.500

Values from the calculation:
calculated formation energy = 425 meV/atom
density of states at the Fermi level = 6.12 states/eV/cell

# 30
A geometry-optimized BeRePt2 structure. Source: the Alexandria database, functional PBE.

abc: 4.685 4.685 2.729
angles: 90.00 90.00 109.63
Element x y z (fractional)
Be  0.000  0.500  0.500
Pt  0.500  0.500  0.000
Re  0.500  0.000  0.500
Pt  0.000  0.000  0.000

Values from the calculation:
calculated formation energy = -133 meV/atom
density of states at the Fermi level = 2.26 states/eV/cell